Entry from Alexandria via LeMat-Bulk: a geometry-optimized Mg5CdPb4 structure (GGA-PBE).

Output
- V: 25.326 Å³/atom
- ΔE_f: -67 meV/atom
- Space group: P4/mmm

```
10
Lattice="-2.732 -1.839 -1.072 1.383 -0.207 -3.168 9.864 -17.848 5.475" Properties=species:S:1:pos:R:3 pbc="T T T"
Mg 0.189 -2.585 -1.641
Mg 2.235 -6.287 -0.506
Mg 4.258 -9.947 0.617
Mg 6.281 -13.607 1.740
Mg 8.327 -17.309 2.875
Cd 0.000 0.000 0.000
Pb 1.892 -3.424 1.050
Pb 3.925 -7.101 2.178
Pb 5.939 -10.747 3.296
Pb 7.972 -14.424 4.424
```